The following is a DFT calculation (GGA-PBE) of a geometry-optimized LiInPd2 structure. Values from VASP.

```
&SYSTEM
  ibrav = 0, nat = 4, ntyp = 3
/
ATOMIC_SPECIES
Li 6.94 Li.upf
In 114.82 In.upf
Pd 106.42 Pd.upf
CELL_PARAMETERS angstrom
2.690 -1.552 0.000
2.690 1.552 0.000
-1.816 0.000 8.069
ATOMIC_POSITIONS crystal
Li 0.000 0.000 0.000
In 0.833 0.833 0.500
Pd 0.254 0.254 0.762
Pd 0.413 0.413 0.239
```

Calculated values
magnetic moment: 0.00 μB/f.u.
symmetry: No. 8
formation energy: -0.31 eV per atom
calculated volume: 16.85 Å³/atom